# 1
Crystalline BaPuZnO5 at its relaxed geometry, computed with PBE.

Cell lengths 6.178, 6.178, 8.078 Å; angles 104.86, 104.86, 106.28 degrees
Fractional positions:
Ba 0.329 0.671 0.250
Ba 0.671 0.329 0.750
Pu 0.000 0.000 0.500
Pu 0.000 0.000 0.000
Zn 0.694 0.306 0.250
Zn 0.306 0.694 0.750
O 0.059 0.941 0.250
O 0.941 0.059 0.750
O 0.891 0.287 0.093
O 0.109 0.713 0.907
O 0.713 0.109 0.407
O 0.287 0.891 0.593
O 0.768 0.653 0.400
O 0.232 0.347 0.600
O 0.347 0.232 0.100
O 0.653 0.768 0.900

total energy	-7.694	eV/atom
formation energy (no corrections)	-2.4042	eV per atom
calculated volume	16.7	Å³/atom



# 2
Crystalline Ba4Pu3ZnO12 at its relaxed geometry, computed with PBE.

Cell lengths 7.497, 7.497, 7.497 Å; angles 109.47, 109.47, 109.47 degrees
Fractional positions:
Ba 0.500 0.500 0.500
Ba 0.000 0.000 0.500
Ba 0.500 0.000 0.000
Ba 0.000 0.500 0.000
Pu 0.500 0.000 0.500
Pu 0.500 0.500 0.000
Pu 0.000 0.500 0.500
Zn 0.000 0.000 0.000
O 0.250 0.500 0.750
O 0.744 0.000 0.744
O 0.256 0.000 0.256
O 0.750 0.500 0.250
O 0.744 0.744 0.000
O 0.256 0.256 0.000
O 0.750 0.250 0.500
O 0.250 0.750 0.500
O 0.500 0.250 0.750
O 0.000 0.744 0.744
O 0.500 0.750 0.250
O 0.000 0.256 0.256

total energy	-8.315	eV/atom
formation energy (no corrections)	-2.7421	eV per atom
calculated volume	16.2	Å³/atom



# 3
Crystalline Ba2PuZnO6 at its relaxed geometry, computed with PBE.

Cell lengths 5.971, 5.971, 5.971 Å; angles 60.00, 60.00, 60.00 degrees
Fractional positions:
Zn 0.000 0.000 0.000
Ba 0.250 0.250 0.250
Ba 0.750 0.750 0.750
O 0.254 0.746 0.746
O 0.746 0.254 0.746
O 0.254 0.746 0.254
O 0.746 0.746 0.254
O 0.746 0.254 0.254
O 0.254 0.254 0.746
Pu 0.500 0.500 0.500

total energy	-7.427	eV/atom
formation energy (no corrections)	-2.5065	eV per atom
calculated volume	15.1	Å³/atom



# 4
Crystalline BaPuZnO6 at its relaxed geometry, computed with PBE.

Cell lengths 5.446, 5.446, 5.829 Å; angles 90.00, 90.00, 60.01 degrees
Fractional positions:
Ba 0.000 0.000 0.000
Pu 0.667 0.667 0.500
Zn 0.333 0.333 0.500
O 0.981 0.389 0.303
O 0.389 0.981 0.697
O 0.630 0.389 0.697
O 0.981 0.630 0.697
O 0.389 0.630 0.303
O 0.630 0.981 0.303

total energy	-7.337	eV/atom
formation energy (no corrections)	-2.0840	eV per atom
calculated volume	16.6	Å³/atom



# 5
Crystalline Ba2Pu3ZnO12 at its relaxed geometry, computed with PBE.

Cell lengths 7.405, 7.405, 7.405 Å; angles 65.24, 65.24, 65.24 degrees
Fractional positions:
Ba 0.669 0.669 0.669
Ba 0.331 0.331 0.331
Pu 0.500 0.000 0.000
Pu 0.000 0.500 0.000
Pu 0.000 0.000 0.500
Zn 0.000 0.000 0.000
O 0.327 0.327 0.960
O 0.933 0.933 0.318
O 0.318 0.933 0.933
O 0.960 0.327 0.327
O 0.933 0.318 0.933
O 0.327 0.960 0.327
O 0.673 0.673 0.040
O 0.067 0.067 0.682
O 0.682 0.067 0.067
O 0.040 0.673 0.673
O 0.067 0.682 0.067
O 0.673 0.040 0.673

total energy	-8.446	eV/atom
formation energy (no corrections)	-2.4673	eV per atom
calculated volume	17.8	Å³/atom



# 6
Crystalline BaPuZrO6 at its relaxed geometry, computed with PBE.

Cell lengths 5.694, 5.694, 11.309 Å; angles 90.00, 90.00, 120.00 degrees
Fractional positions:
Ba 0.000 0.000 0.000
Ba 0.000 0.000 0.500
Pu 0.667 0.333 0.250
Pu 0.333 0.667 0.750
Zr 0.333 0.667 0.250
Zr 0.667 0.333 0.750
O 0.624 0.617 0.151
O 0.993 0.376 0.151
O 0.376 0.993 0.651
O 0.007 0.624 0.849
O 0.383 0.376 0.349
O 0.993 0.617 0.349
O 0.617 0.993 0.849
O 0.624 0.007 0.349
O 0.007 0.383 0.651
O 0.383 0.007 0.151
O 0.617 0.624 0.651
O 0.376 0.383 0.849

total energy	-8.982	eV/atom
formation energy (no corrections)	-2.9207	eV per atom
calculated volume	17.6	Å³/atom



# 7
Crystalline RbBa3O at its relaxed geometry, computed with PBE.

Cell lengths 5.988, 5.988, 5.988 Å; angles 90.00, 90.00, 90.00 degrees
Fractional positions:
O 0.000 0.000 0.000
Ba 0.000 0.500 0.000
Ba 0.000 0.000 0.500
Ba 0.500 0.000 0.000
Rb 0.500 0.500 0.500

total energy	-3.039	eV/atom
formation energy (no corrections)	-0.6998	eV per atom
calculated volume	42.9	Å³/atom
distance to the lowest polymorph of the same formula	0	meV per atom



# 8
Crystalline RbBa2O at its relaxed geometry, computed with PBE.

Cell lengths 8.510, 8.510, 8.513 Å; angles 60.01, 60.01, 90.00 degrees
Fractional positions:
O 0.500 0.500 0.000
O 0.250 0.750 0.500
Ba 0.373 0.125 0.250
Ba 0.377 0.625 0.250
Ba 0.375 0.627 0.750
Ba 0.875 0.623 0.750
Rb 0.000 0.000 0.000
Rb 0.750 0.250 0.500

total energy	-3.580	eV/atom
formation energy (no corrections)	-1.1367	eV per atom
calculated volume	54.5	Å³/atom



# 9
Crystalline RbBaO3 at its relaxed geometry, computed with PBE.

Cell lengths 4.433, 4.433, 4.433 Å; angles 90.00, 90.00, 90.00 degrees
Fractional positions:
O 0.000 0.500 0.000
O 0.000 0.000 0.500
O 0.500 0.000 0.000
Ba 0.500 0.500 0.500
Rb 0.000 0.000 0.000

total energy	-4.027	eV/atom
formation energy (no corrections)	-0.4740	eV per atom
calculated volume	17.4	Å³/atom



# 10
Crystalline RbBa3O at its relaxed geometry, computed with PBE.

Cell lengths 6.845, 6.845, 6.845 Å; angles 90.00, 90.00, 90.00 degrees
Fractional positions:
O 0.500 0.500 0.500
Ba 0.000 0.500 0.000
Ba 0.000 0.000 0.500
Ba 0.500 0.000 0.000
Rb 0.000 0.000 0.000

total energy	-1.321	eV/atom
formation energy (no corrections)	1.0182	eV per atom
calculated volume	64.1	Å³/atom
distance to the lowest polymorph of the same formula	1718	meV per atom



# 11
Crystalline RbBaO at its relaxed geometry, computed with PBE.

Cell lengths 7.665, 4.137, 4.137 Å; angles 120.00, 90.00, 90.00 degrees
Fractional positions:
O 0.283 0.333 0.667
Ba 0.153 0.000 0.000
Rb 0.564 0.667 0.333

total energy	-4.077	eV/atom
formation energy (no corrections)	-1.4610	eV per atom
calculated volume	37.9	Å³/atom



# 12
Crystalline RbBaO4 at its relaxed geometry, computed with PBE.

Cell lengths 7.678, 7.190, 7.342 Å; angles 122.68, 124.74, 84.49 degrees
Fractional positions:
Rb 0.385 0.635 0.269
Rb 0.615 0.365 0.731
Ba 0.172 0.922 0.845
Ba 0.828 0.078 0.155
O 0.001 0.262 0.033
O 0.812 0.716 0.728
O 0.532 0.771 0.033
O 0.416 0.012 0.728
O 0.584 0.988 0.272
O 0.468 0.229 0.967
O 0.188 0.284 0.272
O 0.999 0.738 0.967

total energy	-5.068	eV/atom
formation energy (no corrections)	-1.2811	eV per atom
calculated volume	22.2	Å³/atom



# 13
Crystalline Rb2BaO2 at its relaxed geometry, computed with PBE.

Cell lengths 4.069, 7.043, 11.558 Å; angles 112.65, 100.14, 90.00 degrees
Fractional positions:
Rb 0.892 0.097 0.785
Rb 0.108 0.903 0.215
Rb 0.607 0.403 0.215
Rb 0.393 0.597 0.785
Ba 0.750 0.250 0.500
Ba 0.250 0.750 0.500
O 0.825 0.678 0.649
O 0.175 0.322 0.351
O 0.676 0.823 0.351
O 0.324 0.177 0.649

total energy	-4.277	eV/atom
formation energy (no corrections)	-1.5225	eV per atom
calculated volume	30.0	Å³/atom
distance to the lowest polymorph of the same formula	7	meV per atom



# 14
Crystalline Rb2BaO2 at its relaxed geometry, computed with PBE.

Cell lengths 7.324, 7.574, 10.001 Å; angles 90.00, 94.37, 90.00 degrees
Fractional positions:
Rb 0.524 0.250 0.013
Rb 0.024 0.250 0.013
Rb 0.976 0.750 0.987
Rb 0.476 0.750 0.987
Rb 0.912 0.647 0.319
Rb 0.412 0.853 0.319
Rb 0.588 0.147 0.681
Rb 0.088 0.353 0.681
Ba 0.352 0.387 0.364
Ba 0.648 0.613 0.636
Ba 0.852 0.113 0.364
Ba 0.148 0.887 0.636
O 0.732 0.952 0.151
O 0.232 0.548 0.151
O 0.768 0.452 0.849
O 0.268 0.048 0.849
O 0.699 0.397 0.445
O 0.199 0.103 0.445
O 0.801 0.897 0.555
O 0.301 0.603 0.555

total energy	-4.285	eV/atom
formation energy (no corrections)	-1.5297	eV per atom
calculated volume	27.7	Å³/atom
distance to the lowest polymorph of the same formula	0	meV per atom



# 15
Crystalline Rb2BaO6 at its relaxed geometry, computed with PBE.

Cell lengths 3.932, 7.133, 7.133 Å; angles 64.21, 74.00, 74.00 degrees
Fractional positions:
Rb 0.826 0.674 0.674
Rb 0.174 0.326 0.326
Ba 0.000 0.000 0.000
O 0.608 0.100 0.684
O 0.392 0.900 0.316
O 0.392 0.316 0.900
O 0.500 0.682 0.318
O 0.500 0.318 0.682
O 0.608 0.684 0.100

total energy	-4.806	eV/atom
formation energy (no corrections)	-1.0714	eV per atom
calculated volume	18.9	Å³/atom
distance to the lowest polymorph of the same formula	19	meV per atom



# 16
Crystalline RbBa2O at its relaxed geometry, computed with PBE.

Cell lengths 4.108, 4.108, 12.125 Å; angles 80.25, 80.25, 60.00 degrees
Fractional positions:
O 0.500 0.500 0.500
Ba 0.124 0.124 0.628
Ba 0.876 0.876 0.372
Rb 0.000 0.000 0.000

total energy	-3.473	eV/atom
formation energy (no corrections)	-1.0298	eV per atom
calculated volume	43.4	Å³/atom



# 17
Crystalline Rb2Ba4O at its relaxed geometry, computed with PBE.

Cell lengths 6.019, 6.019, 12.437 Å; angles 76.00, 76.00, 90.00 degrees
Fractional positions:
O 0.000 0.000 0.000
Ba 0.890 0.890 0.220
Ba 0.110 0.110 0.780
Ba 0.000 0.500 0.000
Ba 0.500 0.000 0.000
Rb 0.676 0.676 0.648
Rb 0.324 0.324 0.352

total energy	-2.586	eV/atom
formation energy (no corrections)	-0.5028	eV per atom
calculated volume	60.5	Å³/atom



# 18
Crystalline Rb3Ba2O8 at its relaxed geometry, computed with PBE.

Cell lengths 6.209, 7.095, 7.095 Å; angles 85.74, 111.42, 111.42 degrees
Fractional positions:
Rb 0.500 0.000 0.000
Rb 0.000 0.764 0.236
Rb 0.000 0.236 0.764
Ba 0.484 0.662 0.662
Ba 0.516 0.338 0.338
O 0.111 0.371 0.371
O 0.889 0.629 0.629
O 0.970 0.784 0.784
O 0.030 0.216 0.216
O 0.524 0.412 0.970
O 0.524 0.970 0.412
O 0.476 0.030 0.588
O 0.476 0.588 0.030

total energy	-4.796	eV/atom
formation energy (no corrections)	-1.2254	eV per atom
calculated volume	20.8	Å³/atom



# 19
Crystalline Rb2BaO6 at its relaxed geometry, computed with PBE.

Cell lengths 3.735, 6.510, 7.973 Å; angles 114.09, 103.51, 90.02 degrees
Fractional positions:
Rb 0.165 0.165 0.331
Rb 0.835 0.835 0.669
Ba 0.000 0.500 0.000
O 0.361 0.471 0.722
O 0.639 0.529 0.278
O 0.639 0.749 0.278
O 0.500 0.104 0.000
O 0.500 0.896 0.000
O 0.361 0.251 0.722

total energy	-4.824	eV/atom
formation energy (no corrections)	-1.0903	eV per atom
calculated volume	19.0	Å³/atom
distance to the lowest polymorph of the same formula	0	meV per atom



# 20
Crystalline RbBa2O6 at its relaxed geometry, computed with PBE.

Cell lengths 3.696, 7.180, 7.180 Å; angles 120.00, 90.00, 90.00 degrees
Fractional positions:
Rb 0.000 0.000 0.000
Ba 0.500 0.333 0.667
Ba 0.500 0.667 0.333
O 0.000 0.000 0.601
O 0.999 0.601 0.000
O 0.000 0.399 0.399
O 0.001 0.399 0.000
O 0.000 0.000 0.399
O 0.000 0.601 0.601

total energy	-5.283	eV/atom
formation energy (no corrections)	-1.4427	eV per atom
calculated volume	18.3	Å³/atom



# 21
Crystalline RbBaO3 at its relaxed geometry, computed with PBE.

Cell lengths 4.641, 4.641, 4.641 Å; angles 90.00, 90.00, 90.00 degrees
Fractional positions:
O 0.000 0.500 0.000
O 0.000 0.000 0.500
O 0.500 0.000 0.000
Ba 0.000 0.000 0.000
Rb 0.500 0.500 0.500

total energy	-4.324	eV/atom
formation energy (no corrections)	-0.7706	eV per atom
calculated volume	20.0	Å³/atom



# 22
Crystalline RbBa3O3 at its relaxed geometry, computed with PBE.

Cell lengths 7.744, 7.744, 12.212 Å; angles 71.51, 71.51, 60.00 degrees
Fractional positions:
Rb 0.317 0.317 0.049
Rb 0.683 0.683 0.951
Ba 0.453 0.794 0.625
Ba 0.794 0.128 0.625
Ba 0.128 0.453 0.625
Ba 0.872 0.547 0.375
Ba 0.206 0.872 0.375
Ba 0.547 0.206 0.375
O 0.203 0.527 0.399
O 0.871 0.203 0.399
O 0.527 0.871 0.399
O 0.473 0.129 0.601
O 0.129 0.797 0.601
O 0.797 0.473 0.601

total energy	-5.072	eV/atom
formation energy (no corrections)	-1.9850	eV per atom
calculated volume	42.2	Å³/atom